# 1
The following is a DFT calculation (PBE) of crystalline Be4Cu8Au at its relaxed geometry.

POSCAR file:
```
Be4Cu8Au
1.0
-4.012 4.012 2.260
4.012 -4.012 2.260
4.012 4.012 -2.260
Be Cu Au
4 8 1
Cartesian
2.006 2.006 -1.130
2.006 -2.006 1.130
-2.006 2.006 1.130
2.006 2.006 1.130
1.744 0.000 0.000
6.280 0.000 0.000
4.012 1.231 0.000
0.000 1.744 0.000
1.231 4.012 0.000
2.781 0.000 2.260
0.000 6.280 0.000
0.000 2.781 2.260
0.000 0.000 2.260
```

Computed properties:
SG   I4/mmm


# 2
The following is a DFT calculation (PBE) of crystalline Be3Cu2Au4 at its relaxed geometry.

POSCAR file:
```
Be3Cu2Au4
1.0
4.658 -1.550 0.000
4.658 1.550 0.000
-3.498 0.000 8.443
Be Cu Au
3 2 4
Cartesian
0.000 0.000 0.000
2.165 0.000 3.209
3.653 0.000 5.234
0.156 0.000 6.736
5.661 0.000 1.706
-0.484 0.000 3.457
3.116 0.000 1.007
2.701 0.000 7.435
6.302 0.000 4.986
```

Computed properties:
SG   C2/m


# 3
The following is a DFT calculation (PBE) of crystalline BeCuAu2 at its relaxed geometry.

POSCAR file:
```
BeCuAu2
1.0
1.936 1.118 4.775
-1.936 1.118 4.775
0.000 -2.235 4.775
Be Cu Au
1 1 2
Cartesian
0.000 0.000 0.000
0.000 0.000 11.876
0.000 0.000 5.681
0.000 0.000 8.587
```

Computed properties:
SG   R3m


# 4
The following is a DFT calculation (PBE) of crystalline Be3CuAu at its relaxed geometry.

POSCAR file:
```
Be3CuAu
1.0
4.024 0.000 0.000
0.000 4.024 0.000
0.000 0.000 4.024
Be Cu Au
3 1 1
Cartesian
0.000 0.000 2.012
0.000 2.012 0.000
2.012 0.000 0.000
0.000 0.000 0.000
2.012 2.012 2.012
```

Computed properties:
SG   Pm-3m


no.,calculated formation energy (eV/atom),DOS(E_F) (states/eV/f.u.)
1,-0.0353,4.71
2,-0.0695,2.43
3,0.0209,1.37
4,0.5598,1.65